Computed, not measured: TmInGe2 after structural relaxation at the PBE level of DFT.

Results
The total magnetization comes out at 0.0 μB per formula unit. Its energy is -4.48 eV/atom. The space-group type is No. 123. Its formation enthalpy at 0 K is -0.365 eV per atom. The calculated volume is 85 Å³ per cell. For the distance to the lowest polymorph of the same formula, the calculation gives 0.00 eV per formula unit. The density of states at the Fermi level is 2.2 states/eV/cell.

POSCAR file:
```
TmInGe2
1.0
4.594 0.000 0.000
0.000 4.594 0.000
0.000 0.000 4.046
Tm In Ge
1 1 2
Direct
0.000 0.000 0.000
0.500 0.500 0.000
0.000 0.500 0.500
0.500 0.000 0.500
```